(1)
The following is a GGA-PBE calculation of a geometry-optimized CrCo4 structure, from Alexandria.

* spin magnetization: 3.89 μB/f.u.
* electronic total energy: -7.548 eV/atom
* distance to the lowest polymorph of the same formula: 0.000 eV per atom
* formation energy: 0.0616 eV/atom

```
data_CrCo4
_chemical_formula_sum 'Cr2 Co8'
_space_group_name_H-M_alt 'I 4/m'
_space_group_IT_number 87
_space_group_name_Hall '-I 4'
_cell_length_a 5.588
_cell_length_b 5.588
_cell_length_c 3.484
_cell_angle_alpha 90.00
_cell_angle_beta 90.00
_cell_angle_gamma 90.00
loop_
_atom_site_label
_atom_site_fract_x
_atom_site_fract_y
_atom_site_fract_z
Cr1 0.000 0.000 0.000
Co1 0.100 0.301 0.500
```

=====

(2)
The following is a GGA-PBE calculation of a geometry-optimized AlReBi2Ir structure, from Alexandria.

* spin magnetization: 1.02 μB/f.u.
* electronic total energy: -4.874 eV/atom
* formation energy: 1.6883 eV/atom

```
data_AlReBi2Ir
_chemical_formula_sum 'Al1 Re1 Bi2 Ir1'
_space_group_name_H-M_alt 'P 4/m m m'
_space_group_IT_number 123
_space_group_name_Hall '-P 4 2'
_cell_length_a 5.176
_cell_length_b 5.176
_cell_length_c 4.539
_cell_angle_alpha 90.00
_cell_angle_beta 90.00
_cell_angle_gamma 90.00
loop_
_atom_site_label
_atom_site_fract_x
_atom_site_fract_y
_atom_site_fract_z
Al1 0.000 0.000 0.000
Re1 0.000 0.000 0.500
Bi1 0.000 0.500 0.000
Ir1 0.500 0.500 0.500
```